1.
# DyIn5Hg4

An optimized crystal structure of DyIn5Hg4 (PBE, the Alexandria database).

POSCAR file:
```
DyIn5Hg4
1.0
8.2676 -1.8113 0.0000
8.2676 1.8113 0.0000
-4.0309 0.0000 8.9673
Dy In Hg
1 5 4
direct
0.0000 0.0000 0.0000
0.0000 0.0000 0.5000
0.2958 0.2958 0.4065
0.3169 0.3169 0.8713
0.6831 0.6831 0.1287
0.7042 0.7042 0.5935
0.1310 0.1310 0.8361
0.4468 0.4468 0.7118
0.5532 0.5532 0.2882
0.8690 0.8690 0.1639
```

- Formation energy from the elements: -0.087 eV/atom
- Space group: C2/m, No. 12
- Electronic total energy: -2.04 eV per atom
- Density: 9.5 g cm⁻³


2.
# Dy3InHg2

An optimized crystal structure of Dy3InHg2 (PBE, the Alexandria database).

POSCAR file:
```
Dy3InHg2
1.0
3.7367 0.0000 0.0000
0.0000 3.7367 0.0000
0.0000 0.0000 11.2065
Dy In Hg
3 1 2
direct
0.0000 0.0000 0.0000
0.0000 0.0000 0.3276
0.0000 0.0000 0.6724
0.5000 0.5000 0.5000
0.5000 0.5000 0.1639
0.5000 0.5000 0.8361
```

- Formation energy from the elements: -0.474 eV/atom
- Space group: P4/mmm, No. 123
- Electronic total energy: -3.33 eV per atom
- Density: 10.6 g cm⁻³


3.
# DyInHg4

An optimized crystal structure of DyInHg4 (PBE, the Alexandria database).

POSCAR file:
```
DyInHg4
1.0
4.4035 0.0000 0.0000
0.0000 4.4164 0.0000
0.0000 0.0000 8.8654
Dy In Hg
1 1 4
direct
0.0000 0.0000 0.0000
0.5000 0.5000 0.5000
0.0000 0.5000 0.2490
0.0000 0.5000 0.7510
0.5000 0.0000 0.2498
0.5000 0.0000 0.7502
```

- Formation energy from the elements: -0.077 eV/atom
- Space group: Pmmm, No. 47
- Electronic total energy: -1.50 eV per atom
- Density: 10.4 g cm⁻³
- Polymorph energy (0 for the lowest one): 93 meV per atom


4.
# DyIn8Hg6

An optimized crystal structure of DyIn8Hg6 (PBE, the Alexandria database).

POSCAR file:
```
DyIn8Hg6
1.0
3.0012 1.7327 12.8478
-3.0012 1.7327 12.8478
0.0000 -3.4655 12.8478
Dy In Hg
1 8 6
direct
0.0000 0.0000 0.0000
0.1307 0.7937 0.4682
0.2063 0.5318 0.8693
0.3332 0.3332 0.3332
0.4682 0.1307 0.7937
0.5318 0.8693 0.2063
0.6668 0.6668 0.6668
0.7937 0.4682 0.1307
0.8693 0.2063 0.5318
0.0690 0.3903 0.7365
0.2635 0.9310 0.6097
0.3903 0.7365 0.0690
0.6097 0.2635 0.9310
0.7365 0.0690 0.3903
0.9310 0.6097 0.2635
```

- Formation energy from the elements: -0.056 eV/atom
- Space group: R-3, No. 148
- Electronic total energy: -1.94 eV per atom
- Density: 9.5 g cm⁻³


5.
# Dy5InHg4

An optimized crystal structure of Dy5InHg4 (PBE, the Alexandria database).

POSCAR file:
```
Dy5InHg4
1.0
3.7271 0.0000 0.0000
0.0000 3.7271 0.0000
0.0000 0.0000 18.6770
Dy In Hg
5 1 4
direct
0.0000 0.0000 0.0000
0.0000 0.0000 0.1987
0.0000 0.0000 0.3963
0.0000 0.0000 0.6037
0.0000 0.0000 0.8013
0.5000 0.5000 0.5000
0.5000 0.5000 0.1001
0.5000 0.5000 0.2979
0.5000 0.5000 0.7021
0.5000 0.5000 0.8999
```

- Formation energy from the elements: -0.478 eV/atom
- Space group: P4/mmm, No. 123
- Electronic total energy: -3.17 eV per atom
- Density: 11.1 g cm⁻³


6.
# Dy6InHg5

An optimized crystal structure of Dy6InHg5 (PBE, the Alexandria database).

POSCAR file:
```
Dy6InHg5
1.0
5.2589 0.0000 0.0000
0.0000 7.4790 0.0000
-2.6207 0.0000 7.9129
Dy In Hg
6 1 5
direct
0.0000 0.2464 0.0000
0.0000 0.7536 0.0000
0.3325 0.2490 0.6637
0.3325 0.7510 0.6637
0.6675 0.2490 0.3363
0.6675 0.7510 0.3363
0.5000 0.5000 0.0000
0.1636 0.5000 0.3290
0.1646 0.0000 0.3305
0.5000 0.0000 0.0000
0.8354 0.0000 0.6695
0.8364 0.5000 0.6710
```

- Formation energy from the elements: -0.476 eV/atom
- Space group: P2/m, No. 10
- Electronic total energy: -3.13 eV per atom
- Density: 11.2 g cm⁻³


7.
# Dy3In2Hg6

An optimized crystal structure of Dy3In2Hg6 (PBE, the Alexandria database).

POSCAR file:
```
Dy3In2Hg6
1.0
-2.1307 2.1307 16.2493
2.1307 -2.1307 16.2493
2.1307 2.1307 -16.2493
Dy In Hg
3 2 6
direct
0.0000 0.0000 0.0000
0.1752 0.1752 0.0000
0.8248 0.8248 0.0000
0.3610 0.3610 0.0000
0.6390 0.6390 0.0000
0.0703 0.5703 0.5000
0.2699 0.2699 0.0000
0.4297 0.9297 0.5000
0.5703 0.0703 0.5000
0.7301 0.7301 0.0000
0.9297 0.4297 0.5000
```

- Formation energy from the elements: -0.189 eV/atom
- Space group: I4/mmm, No. 139
- Electronic total energy: -2.11 eV per atom
- Density: 10.8 g cm⁻³


8.
# Dy4InHg5

An optimized crystal structure of Dy4InHg5 (PBE, the Alexandria database).

POSCAR file:
```
Dy4InHg5
1.0
3.7512 0.0000 0.0000
0.0000 3.7512 0.0000
0.0000 0.0000 18.0730
Dy In Hg
4 1 5
direct
0.0000 0.0000 0.1018
0.0000 0.0000 0.3060
0.0000 0.0000 0.6940
0.0000 0.0000 0.8982
0.0000 0.0000 0.5000
0.5000 0.5000 0.0000
0.5000 0.5000 0.2002
0.5000 0.5000 0.4013
0.5000 0.5000 0.5987
0.5000 0.5000 0.7998
```

- Formation energy from the elements: -0.407 eV/atom
- Space group: P4/mmm, No. 123
- Electronic total energy: -2.67 eV per atom
- Density: 11.5 g cm⁻³


9.
# DyIn2Hg4

An optimized crystal structure of DyIn2Hg4 (PBE, the Alexandria database).

POSCAR file:
```
DyIn2Hg4
1.0
5.0336 0.0000 0.0000
0.0000 5.0336 0.0000
0.0000 0.0000 7.1921
Dy In Hg
1 2 4
direct
0.0000 0.0000 0.0000
0.0000 0.0000 0.5000
0.5000 0.5000 0.0000
0.0000 0.5000 0.2680
0.0000 0.5000 0.7320
0.5000 0.0000 0.2680
0.5000 0.0000 0.7320
```

- Formation energy from the elements: -0.206 eV/atom
- Space group: P4/mmm, No. 123
- Electronic total energy: -1.82 eV per atom
- Density: 10.9 g cm⁻³


10.
# Dy8In2Hg

An optimized crystal structure of Dy8In2Hg (PBE, the Alexandria database).

POSCAR file:
```
Dy8In2Hg
1.0
-2.5577 4.2566 7.2964
2.5577 -4.2566 7.2964
2.5577 4.2566 -7.2964
Dy In Hg
8 2 1
direct
0.1242 0.3427 0.7814
0.1384 0.1384 0.0000
0.3120 0.0000 0.3120
0.4387 0.6573 0.7814
0.5613 0.3427 0.2186
0.6880 0.0000 0.6880
0.8616 0.8616 0.0000
0.8758 0.6573 0.2186
0.3041 0.8041 0.5000
0.6959 0.1959 0.5000
0.0000 0.5000 0.5000
```

- Formation energy from the elements: -0.176 eV/atom
- Space group: Immm, No. 71
- Electronic total energy: -4.05 eV per atom
- Density: 9.0 g cm⁻³
- Polymorph energy (0 for the lowest one): 40 meV per atom


11.
# Dy2In3Hg

An optimized crystal structure of Dy2In3Hg (PBE, the Alexandria database).

POSCAR file:
```
Dy2In3Hg
1.0
0.0000 4.9578 8.5697
3.5501 0.0000 8.5697
3.5501 4.9578 0.0000
Dy In Hg
4 6 2
direct
0.2479 0.7521 0.7521
0.2500 0.2500 0.2500
0.7500 0.7500 0.7500
0.7521 0.2479 0.2479
0.1654 0.6669 0.3331
0.3321 0.3321 0.6679
0.3331 0.8346 0.1654
0.6669 0.1654 0.8346
0.6679 0.6679 0.3321
0.8346 0.3331 0.6669
0.1665 0.1665 0.8335
0.8335 0.8335 0.1665
```

- Formation energy from the elements: -0.400 eV/atom
- Space group: Fmmm, No. 69
- Electronic total energy: -3.35 eV per atom
- Density: 9.6 g cm⁻³


12.
# DyIn2Hg3

An optimized crystal structure of DyIn2Hg3 (PBE, the Alexandria database).

POSCAR file:
```
DyIn2Hg3
1.0
2.3874 -7.4323 0.0000
2.3874 7.4323 0.0000
0.0000 0.0000 4.2236
Dy In Hg
1 2 3
direct
0.0000 0.0000 0.0000
0.3284 0.6716 0.0000
0.6716 0.3284 0.0000
0.1623 0.8377 0.5000
0.5000 0.5000 0.5000
0.8377 0.1623 0.5000
```

- Formation energy from the elements: -0.220 eV/atom
- Space group: Cmmm, No. 65
- Electronic total energy: -2.05 eV per atom
- Density: 11.0 g cm⁻³


Result set for spin magnetization: 0.00; 0.00; 0.00; 0.00; 0.00; 0.01; 0.00; 0.30; 0.00; 0.00; 0.00; 0.00 μB/f.u., one per record in the order listed.